[1]
A plane-wave DFT calculation with PBE was carried out for a relaxed structure of RbNaHg10.

As for the calculated formation energy: -0.1160 eV per atom. The value obtained for the magnetization is 0.0 μB per formula unit.

The structure belongs to space group Pmmm (No. 47); the cell edges are 5.650, 6.165 and 10.785 Å and the angles 90.00°, 90.00° and 90.00°. Symmetry generates all atoms from Rb at (0.000, 0.000, 0.000), Na at (0.000, 0.500, 0.500), Hg at (0.000, 0.000, 0.349), Hg at (0.000, 0.500, 0.194), Hg at (0.500, 0.000, 0.500), Hg at (0.500, 0.250, 0.250) and Hg at (0.500, 0.500, 0.000).

[2]
A plane-wave DFT calculation with PBE was carried out for a relaxed structure of RbNa6Hg.

The offset from the most stable computed form comes out at 0.00 eV per formula unit. As for the calculated formation energy: -0.0282 eV per atom. The value obtained for the magnetization is 0.0 μB per formula unit.

The structure belongs to space group R-3m (No. 166, hexagonal axes); the cell edges are 5.6710, 5.6710 and 34.5592 Å and the angles 90.00°, 90.00° and 120.00°. Symmetry generates all atoms from Rb at (0.0000, 0.0000, 0.0000), Na at (0.0000, 0.0000, 0.1374), Na at (0.0000, 0.0000, 0.2351), Na at (0.0000, 0.0000, 0.4085) and Hg at (0.0000, 0.0000, 0.5000).

[3]
A plane-wave DFT calculation with PBE was carried out for a relaxed structure of RbNaHg6.

The offset from the most stable computed form comes out at 0.35 eV per formula unit. As for the calculated formation energy: -0.1386 eV per atom. The value obtained for the magnetization is 0.0 μB per formula unit.

The structure belongs to space group Pm-3 (No. 200); the cell edges are 6.273, 6.273 and 6.273 Å and the angles 90.00°, 90.00° and 90.00°. Symmetry generates all atoms from Rb at (0.000, 0.000, 0.000), Na at (0.500, 0.500, 0.500) and Hg at (0.000, 0.262, 0.500).

[4]
A plane-wave DFT calculation with PBE was carried out for a relaxed structure of Rb2Na4Hg.

The offset from the most stable computed form comes out at 0.00 eV per formula unit. As for the calculated formation energy: -0.0560 eV per atom. The value obtained for the magnetization is 0.0 μB per formula unit.

The structure belongs to space group I4/mcm (No. 140); the cell edges are 14.899, 14.899 and 6.236 Å and the angles 90.00°, 90.00° and 90.00°. Symmetry generates all atoms from Rb at (0.133, 0.367, 0.000), Na at (0.078, 0.173, 0.500) and Hg at (0.000, 0.000, 0.250).

[5]
A plane-wave DFT calculation with PBE was carried out for a relaxed structure of Rb2Na2Hg3.

The offset from the most stable computed form comes out at 0.00 eV per formula unit. As for the calculated formation energy: -0.1936 eV per atom. The value obtained for the magnetization is 0.0 μB per formula unit.

The structure belongs to space group C2/m (No. 12); the cell edges are 13.294, 5.509 and 8.397 Å and the angles 90.00°, 121.88° and 90.00°. Symmetry generates all atoms from Rb at (0.162, 0.000, 0.268), Na at (0.135, 0.000, 0.761), Hg at (0.000, 0.500, 0.500) and Hg at (0.084, 0.500, 0.914).

[6]
A plane-wave DFT calculation with PBE was carried out for a relaxed structure of Rb4Na5Hg2.

As for the calculated formation energy: -0.0517 eV per atom. The value obtained for the magnetization is 0.0 μB per formula unit.

The structure belongs to space group P2/m (No. 10); the cell edges are 8.869, 5.837 and 10.554 Å and the angles 90.00°, 93.52° and 90.00°. Symmetry generates all atoms from Rb at (0.219, 0.000, 0.357), Rb at (0.225, 0.000, 0.912), Na at (0.137, 0.500, 0.638), Na at (0.455, 0.500, 0.165), Na at (0.500, 0.500, 0.500) and Hg at (0.089, 0.500, 0.130).

[7]
A plane-wave DFT calculation with PBE was carried out for a relaxed structure of Rb2Na6Hg.

As for the calculated formation energy: -0.0249 eV per atom. The value obtained for the magnetization is 0.0 μB per formula unit.

The structure belongs to space group C2/m (No. 12); the cell edges are 13.513, 7.771 and 7.862 Å and the angles 90.00°, 106.51° and 90.00°. Symmetry generates all atoms from Rb at (0.146, 0.000, 0.349), Na at (0.112, 0.500, 0.194), Na at (0.130, 0.252, 0.818) and Hg at (0.000, 0.500, 0.500).

[8]
A plane-wave DFT calculation with PBE was carried out for a relaxed structure of Rb2Na2Hg.

The offset from the most stable computed form comes out at 0.74 eV per formula unit. As for the calculated formation energy: 0.0599 eV per atom. The value obtained for the magnetization is 0.0 μB per formula unit.

The structure belongs to space group P4/mbm (No. 127); the cell edges are 10.045, 10.045 and 5.782 Å and the angles 90.00°, 90.00° and 90.00°. Symmetry generates all atoms from Rb at (0.168, 0.332, 0.000), Na at (0.134, 0.634, 0.500) and Hg at (0.000, 0.000, 0.000).

[9]
A plane-wave DFT calculation with PBE was carried out for a relaxed structure of Rb2Na3Hg.

The offset from the most stable computed form comes out at 0.00 eV per formula unit. As for the calculated formation energy: -0.0638 eV per atom. The value obtained for the magnetization is 0.0 μB per formula unit.

The structure belongs to space group C2/m (No. 12); the cell edges are 12.399, 7.291 and 7.193 Å and the angles 90.00°, 124.09° and 90.00°. Symmetry generates all atoms from Rb at (0.128, 0.000, 0.383), Na at (0.000, 0.500, 0.000), Na at (0.250, 0.250, 0.000) and Hg at (0.000, 0.500, 0.500).

[10]
A plane-wave DFT calculation with PBE was carried out for a relaxed structure of RbNaHg2.

The offset from the most stable computed form comes out at 0.21 eV per formula unit. As for the calculated formation energy: -0.1769 eV per atom. The value obtained for the magnetization is 0.0 μB per formula unit.

The structure belongs to space group Fm-3m (No. 225); the cell edges are 8.271, 8.271 and 8.271 Å and the angles 90.00°, 90.00° and 90.00°. Symmetry generates all atoms from Rb at (0.000, 0.000, 0.000), Na at (0.000, 0.000, 0.500) and Hg at (0.250, 0.250, 0.250).

[11]
A plane-wave DFT calculation with PBE was carried out for a relaxed structure of Rb2Na4Hg.

The offset from the most stable computed form comes out at 0.36 eV per formula unit. As for the calculated formation energy: -0.0046 eV per atom. The value obtained for the magnetization is 0.0 μB per formula unit.

The structure belongs to space group I4/mmm (No. 139); the cell edges are 6.006, 6.006 and 20.440 Å and the angles 90.00°, 90.00° and 90.00°. Symmetry generates all atoms from Rb at (0.000, 0.000, 0.149), Na at (0.000, 0.000, 0.353), Na at (0.000, 0.500, 0.000) and Hg at (0.000, 0.000, 0.500).

[12]
A plane-wave DFT calculation with PBE was carried out for a relaxed structure of RbNaHg.

The offset from the most stable computed form comes out at 0.03 eV per formula unit. As for the calculated formation energy: -0.1582 eV per atom. The value obtained for the magnetization is 0.0 μB per formula unit.

The structure belongs to space group Immm (No. 71); the cell edges are 4.817, 7.440 and 14.420 Å and the angles 90.00°, 90.00° and 90.00°. Symmetry generates all atoms from Rb at (0.000, 0.000, 0.199), Na at (0.000, 0.233, 0.500) and Hg at (0.000, 0.500, 0.103).